Record 1
Here is a relaxed CeMgAs2 crystal from the Alexandria database. Energies are from PBE.

Cell lengths 8.148, 8.148, 8.148 Å; angles 31.74, 31.74, 31.74 degrees
Fractional coordinates of all 4 atoms:
1 Ce 0.000 0.000 0.000
2 Mg 0.500 0.500 0.500
3 As 0.394 0.394 0.394
4 As 0.606 0.606 0.606

Mass density   3.9 Mg/m³
Energy of formation from the pure elements   -0.546 eV/atom
Relative energy among the computed polymorphs   0.3517 eV per atom
Total moment   0.00 μB/f.u.

Record 2
Here is a relaxed PmTm2TaO8 crystal from the Alexandria database. Energies are from PBE.

Cell lengths 5.024, 6.948, 5.029 Å; angles 90.00, 90.30, 90.00 degrees
Fractional coordinates of all 12 atoms:
1 Pm 0.000 0.000 0.000
2 Tm 0.500 0.257 0.500
3 Tm 0.500 0.743 0.500
4 Ta 0.000 0.500 0.000
5 O 0.188 0.287 0.811
6 O 0.188 0.713 0.811
7 O 0.285 0.500 0.284
8 O 0.320 0.000 0.319
9 O 0.680 0.000 0.681
10 O 0.715 0.500 0.716
11 O 0.812 0.287 0.189
12 O 0.812 0.713 0.189

Raw total energy   -100.2 eV/cell
Mass density   7.5 Mg/m³
Total moment   2.02 μB/f.u.

Record 3
Here is a relaxed BeReAs2 crystal from the Alexandria database. Energies are from PBE.

Cell lengths 4.330, 4.330, 3.187 Å; angles 90.00, 90.00, 103.60 degrees
Fractional coordinates of all 4 atoms:
1 Be 0.000 0.000 0.000
2 Re 0.500 0.500 0.000
3 As 0.000 0.500 0.500
4 As 0.500 0.000 0.500

Mass density   9.9 Mg/m³
Energy of formation from the pure elements   0.528 eV/atom
Total moment   0.00 μB/f.u.